First-principles (PBE) data for a relaxed InBr2N2 crystal, as listed in Alexandria via LeMat-Bulk.

POSCAR file:
```
InBr2N2
1.0
7.8210 0.0001 -0.7164
3.9106 6.4136 -0.3583
-2.9725 -0.0001 8.0328
N Br In
4 4 2
direct
0.2305 0.0000 0.2285
0.7695 0.0000 0.7715
0.7176 0.0000 0.8737
0.2824 0.0000 0.1263
0.0523 0.4152 0.7361
0.5325 0.4152 0.2639
0.4675 0.5848 0.7361
0.9477 0.5848 0.2639
0.8901 0.2199 0.5000
0.1099 0.7801 0.5000
```

Energy relative to the elements, uncorrected   -1.763 eV/f.u.
Energy relative to the lowest polymorph listed for this composition   0 meV per atom
DOS(E_F)   0.00 states/eV per cell
E   -49.0 eV/cell
Space-group type   C2/m, No. 12
Calculated density   2.6 g/cm3

First-principles (PBE) data for a relaxed Li12Ga6Ag crystal, as listed in Alexandria via LeMat-Bulk.

POSCAR file:
```
Li12Ga6Ag
1.0
6.8151 0.5022 -0.3093
-0.3455 6.8249 -0.3093
0.4434 0.5022 6.8077
Li Ga Ag
12 6 1
direct
0.1539 0.0285 0.3799
0.4220 0.5205 0.8077
0.8077 0.4220 0.5205
0.9715 0.6201 0.8461
0.1923 0.5780 0.4795
0.5205 0.8077 0.4220
0.3799 0.1539 0.0285
0.5780 0.4795 0.1923
0.4795 0.1923 0.5780
0.8461 0.9715 0.6201
0.0285 0.3799 0.1539
0.6201 0.8461 0.9715
0.8838 0.7356 0.2743
0.2743 0.8838 0.7356
0.7257 0.1162 0.2644
0.2644 0.7257 0.1162
0.7356 0.2743 0.8838
0.1162 0.2644 0.7257
0.0000 0.0000 0.0000
```

DOS(E_F)   6.33 states/eV per cell
E   -48.6 eV/cell
Space-group type   R-3, No. 148
Calculated density   3.2 g/cm3

First-principles (PBE) data for a relaxed PrPuSe2Cl crystal, as listed in Alexandria via LeMat-Bulk.

POSCAR file:
```
PrPuSe2Cl
1.0
4.2682 0.0000 0.0000
0.0000 4.2682 0.0000
0.0000 0.0000 14.3259
Se Cl Pu Pr
4 2 2 2
direct
0.5000 0.0000 0.3062
0.0000 0.5000 0.1136
0.0000 0.5000 0.6938
0.5000 0.0000 0.8864
0.0000 0.0000 0.5000
0.5000 0.5000 0.5000
0.0000 0.5000 0.3602
0.5000 0.0000 0.6398
0.5000 0.0000 0.1041
0.0000 0.5000 0.8959
```

Energy relative to the elements, uncorrected   -8.519 eV/f.u.
DOS(E_F)   23.88 states/eV per cell
E   -72.9 eV/cell
Space-group type   P4/nmm, No. 129
Calculated density   7.4 g/cm3

First-principles (PBE) data for a relaxed Sm2TlPb crystal, as listed in Alexandria via LeMat-Bulk.

POSCAR file:
```
Sm2TlPb
1.0
-0.3351 6.4447 0.1696
-6.4274 -0.3222 -0.4578
2.4767 -0.1862 11.9741
Sm Tl Pb
8 4 4
direct
0.6245 0.0619 0.8671
0.1279 0.5493 0.8637
0.3755 0.9381 0.1329
0.6245 0.4381 0.6329
0.8721 0.4507 0.1363
0.1279 0.9507 0.6363
0.3755 0.5619 0.3671
0.8721 0.0493 0.3637
0.8770 0.5711 0.4073
0.8770 0.9289 0.0927
0.1230 0.4289 0.5927
0.1230 0.0711 0.9073
0.6311 0.5836 0.9065
0.3689 0.4164 0.0935
0.6311 0.9164 0.5935
0.3689 0.0836 0.4065
```

DOS(E_F)   13.08 states/eV per cell
E   -69.3 eV/cell
Space-group type   P2/c, No. 13
Calculated density   9.6 g/cm3

First-principles (PBE) data for a relaxed Ho2ErLu crystal, as listed in Alexandria via LeMat-Bulk.

POSCAR file:
```
Ho2ErLu
1.0
3.5049 0.0000 0.0000
0.0000 3.5049 0.0000
0.0000 0.0000 9.9207
Ho Er Lu
2 1 1
direct
0.0000 0.0000 0.2484
0.0000 0.0000 0.7516
0.5000 0.5000 0.5000
0.5000 0.5000 0.0000
```

Energy relative to the lowest polymorph listed for this composition   0 meV per atom
DOS(E_F)   5.35 states/eV per cell
E   -18.1 eV/cell
Space-group type   P4/mmm, No. 123
Calculated density   9.2 g/cm3

First-principles (PBE) data for a relaxed Ba2BiBrF crystal, as listed in Alexandria via LeMat-Bulk.

POSCAR file:
```
Ba2BiBrF
1.0
-0.3372 6.0797 1.6019
-4.3957 0.6448 -3.3725
-3.8612 -1.4663 4.7523
Ba Br Bi F
2 1 1 1
direct
0.5000 0.0000 0.0000
0.0000 0.0000 0.5000
0.0000 0.0000 0.0000
0.0000 0.5000 0.0000
0.5000 0.5000 0.5000
```

Energy relative to the elements, uncorrected   -4.549 eV/f.u.
DOS(E_F)   2.53 states/eV per cell
E   -15.8 eV/cell
Space-group type   P4/mmm, No. 123
Calculated density   4.4 g/cm3

First-principles (PBE) data for a relaxed Mg2ScBiH crystal, as listed in Alexandria via LeMat-Bulk.

POSCAR file:
```
Mg2ScBiH
1.0
-2.6450 3.5958 -1.1085
-3.6883 -2.2092 1.6342
0.7262 1.7822 4.0482
Mg Sc H Bi
2 1 1 1
direct
0.5000 0.0000 0.0000
0.0000 0.5000 0.0000
0.0000 0.0000 0.5000
0.0000 0.0000 0.0000
0.5000 0.5000 0.5000
```

DOS(E_F)   2.02 states/eV per cell
E   -17.7 eV/cell
Space-group type   P4/mmm, No. 123
Calculated density   5.3 g/cm3

First-principles (PBE) data for a relaxed RbCuSCl2 crystal, as listed in Alexandria via LeMat-Bulk.

POSCAR file:
```
RbCuSCl2
1.0
6.0697 0.0000 0.0000
0.0000 6.0697 0.0000
0.0000 0.0000 5.9546
Rb Cu Cl S
1 1 2 1
direct
0.0000 0.0000 0.0000
0.5000 0.5000 0.5000
0.0000 0.5000 0.0000
0.5000 0.0000 0.0000
0.0000 0.0000 0.5000
```

Energy relative to the elements, uncorrected   2.740 eV/f.u.
Energy relative to the lowest polymorph listed for this composition   1224 meV per atom
DOS(E_F)   6.67 states/eV per cell
E   -10.1 eV/cell
Space-group type   P4/mmm, No. 123
Calculated density   1.9 g/cm3

First-principles (PBE) data for a relaxed InHg3 crystal, as listed in Alexandria via LeMat-Bulk.

POSCAR file:
```
InHg3
1.0
5.5030 0.0000 0.0000
0.0000 6.6847 0.0000
0.0000 -3.3423 5.7891
Hg In
6 2
direct
0.2500 0.3315 0.1657
0.7500 0.1657 0.8343
0.2500 0.8343 0.1657
0.2500 0.8343 0.6685
0.7500 0.1657 0.3315
0.7500 0.6685 0.8343
0.7500 0.6667 0.3333
0.2500 0.3333 0.6667
```

DOS(E_F)   2.90 states/eV per cell
E   -7.3 eV/cell
Space-group type   P6_3/mmc, No. 194
Calculated density   11.2 g/cm3

First-principles (PBE) data for a relaxed ZrTa3Re4 crystal, as listed in Alexandria via LeMat-Bulk.

POSCAR file:
```
ZrTa3Re4
1.0
4.5606 0.0000 0.0000
0.0000 6.4524 0.0000
0.0000 0.0000 9.1222
Zr Re Ta
2 8 6
direct
0.0000 0.5000 0.0000
0.0000 0.5000 0.5000
0.0000 0.7548 0.7500
0.0000 0.2452 0.2500
0.0000 0.7548 0.2500
0.5000 0.7548 0.0000
0.5000 0.2452 0.0000
0.5000 0.2452 0.5000
0.0000 0.2452 0.7500
0.5000 0.7548 0.5000
0.0000 0.0000 0.0000
0.5000 0.5000 0.7500
0.5000 0.5000 0.2500
0.5000 0.0000 0.7500
0.5000 0.0000 0.2500
0.0000 0.0000 0.5000
```

DOS(E_F)   11.44 states/eV per cell
E   -193.7 eV/cell
Space-group type   P4/mmm, No. 123
Calculated density   17.1 g/cm3

First-principles (PBE) data for a relaxed HfNiP crystal, as listed in Alexandria via LeMat-Bulk.

POSCAR file:
```
HfNiP
1.0
-2.1723 -1.5088 -2.5872
-3.6483 -2.4835 4.5116
-4.0570 5.8988 -0.0337
Hf P Ni
4 4 4
direct
0.2500 0.5209 0.3172
0.2500 0.0209 0.1828
0.7500 0.9791 0.8172
0.7500 0.4791 0.6828
0.7500 0.7232 0.1135
0.2500 0.2768 0.8865
0.7500 0.2232 0.3865
0.2500 0.7768 0.6135
0.7500 0.3460 0.0656
0.2500 0.1540 0.5656
0.2500 0.6540 0.9344
0.7500 0.8460 0.4344
```

DOS(E_F)   3.49 states/eV per cell
E   -97.3 eV/cell
Space-group type   Pnma, No. 62
Calculated density   10.7 g/cm3

First-principles (PBE) data for a relaxed Dy2SnPd4 crystal, as listed in Alexandria via LeMat-Bulk.

POSCAR file:
```
Dy2SnPd4
1.0
4.1169 -0.1581 2.0327
1.7170 3.7450 2.0330
0.5336 0.3276 9.4257
Pd Dy Sn
4 2 1
direct
0.3492 0.3492 0.4767
0.6012 0.6012 0.0984
0.3988 0.3988 0.9016
0.6508 0.6508 0.5233
0.8568 0.8569 0.7151
0.1432 0.1431 0.2849
0.0000 0.0000 0.0000
```

Energy relative to the lowest polymorph listed for this composition   0 meV per atom
DOS(E_F)   3.39 states/eV per cell
E   -39.6 eV/cell
Space-group type   C2/m, No. 12
Calculated density   10.2 g/cm3